The following is a PBE calculation of a geometry-optimized Th4GeAs2Os structure, from Alexandria via LeMat-Bulk.

abc: 7.3534 4.2175 7.4375
angles: 90.00 108.79 90.00
Sites, in units of the cell vectors:
Th1 0.2342 0.0000 0.2325
Th2 0.2399 0.5000 0.7624
Th3 0.7601 0.5000 0.2376
Th4 0.7658 0.0000 0.7675
Ge1 0.5000 0.0000 0.0000
As1 0.0000 0.0000 0.5000
As2 0.5000 0.5000 0.5000
Os1 0.0000 0.5000 0.0000

## Properties
As for the density of states at the Fermi level: 0.7790 states/eV per atom. Its space group is No. 10. The calculation puts the energy relative to the elements at -0.91 eV/atom.

***

The following is a PBE calculation of a geometry-optimized LaB2IrRu structure, from Alexandria via LeMat-Bulk.

abc: 5.7863 5.7863 5.7863
angles: 139.91 139.91 57.99
Sites, in units of the cell vectors:
La1 0.0000 0.0000 0.0000
B1 0.3285 0.3285 0.0000
B2 0.6715 0.6715 0.0000
Ir1 0.7500 0.2500 0.5000
Ru1 0.2500 0.7500 0.5000

## Properties
As for the density of states at the Fermi level: 0.2096 states/eV per atom. Its space group is No. 119. The calculation puts the energy relative to the elements at -0.60 eV/atom.

***

The following is a PBE calculation of a geometry-optimized Ho2HfPa structure, from Alexandria via LeMat-Bulk.

abc: 11.8753 11.8753 11.8753
angles: 15.83 15.83 15.83
Sites, in units of the cell vectors:
Ho1 0.0884 0.0884 0.0884
Ho2 0.9116 0.9116 0.9116
Hf1 0.0000 0.0000 0.0000
Pa1 0.5000 0.5000 0.5000

## Properties
As for the density of states at the Fermi level: 1.3233 states/eV per atom. Its space group is No. 166. The calculation puts the energy relative to the elements at 0.36 eV/atom.

***

The following is a PBE calculation of a geometry-optimized CrPtC3 structure, from Alexandria via LeMat-Bulk.

abc: 3.8149 3.8149 3.8149
angles: 90.00 90.00 90.00
Sites, in units of the cell vectors:
Cr1 0.0000 0.0000 0.0000
Pt1 0.5000 0.5000 0.5000
C1 0.0000 0.0000 0.5000
C2 0.0000 0.5000 0.0000
C3 0.5000 0.0000 0.0000

## Properties
As for the density of states at the Fermi level: 0.6044 states/eV per atom. Its space group is No. 221. The calculation puts the energy relative to the elements at 1.99 eV/atom.

***

The following is a PBE calculation of a geometry-optimized Li2H3Au structure, from Alexandria via LeMat-Bulk.

abc: 7.0279 5.9526 5.6011
angles: 74.86 54.84 50.29
Sites, in units of the cell vectors:
Li1 0.2302 0.7698 0.7698
Li2 0.2500 0.2500 0.2500
Li3 0.7500 0.7500 0.7500
Li4 0.7698 0.2302 0.2302
H1 0.0204 0.7215 0.2785
H2 0.2785 0.9796 0.0204
H3 0.3930 0.3930 0.6070
H4 0.6070 0.6070 0.3930
H5 0.7215 0.0204 0.9796
H6 0.9796 0.2785 0.7215
Au1 0.2281 0.2281 0.7719
Au2 0.7719 0.7719 0.2281

## Properties
As for the density of states at the Fermi level: 0.0147 states/eV per atom. Its space group is No. 69. The value obtained for the raw total energy is -3.071 eV per atom.

***

The following is a PBE calculation of a geometry-optimized Pr4Dy7Tm structure, from Alexandria via LeMat-Bulk.

abc: 6.5693 6.8684 9.1433
angles: 85.10 77.33 82.05
Sites, in units of the cell vectors:
Pr1 0.1411 0.3121 0.2827
Pr2 0.3368 0.8840 0.6948
Pr3 0.6632 0.1160 0.3052
Pr4 0.8589 0.6879 0.7173
Dy1 0.0100 0.2538 0.9503
Dy2 0.1804 0.8032 0.3591
Dy3 0.3136 0.3938 0.6182
Dy4 0.5000 0.0000 0.0000
Dy5 0.6864 0.6062 0.3818
Dy6 0.8196 0.1968 0.6409
Dy7 0.9900 0.7462 0.0497
Tm1 0.5000 0.5000 0.0000

## Properties
As for the density of states at the Fermi level: 1.5373 states/eV per atom. Its space group is No. 2. The calculation puts the energy relative to the elements at 0.09 eV/atom. As for the excess energy over the best structure of this formula in the dataset: 0 meV/atom.

***

The following is a PBE calculation of a geometry-optimized HoCd6Ag6 structure, from Alexandria via LeMat-Bulk.

abc: 7.4920 7.4920 7.4920
angles: 136.13 98.89 97.16
Sites, in units of the cell vectors:
Ho1 0.0000 0.0000 0.0000
Cd1 0.1906 0.6906 0.5000
Cd2 0.3440 0.0000 0.3440
Cd3 0.3449 0.3449 0.0000
Cd4 0.6551 0.6551 0.0000
Cd5 0.6560 0.0000 0.6560
Cd6 0.8094 0.3094 0.5000
Ag1 0.0000 0.0000 0.5000
Ag2 0.0000 0.5000 0.0000
Ag3 0.2237 0.5000 0.7237
Ag4 0.5000 0.0000 0.0000
Ag5 0.5000 0.5000 0.5000
Ag6 0.7763 0.5000 0.2763

## Properties
As for the density of states at the Fermi level: 0.4996 states/eV per atom. Its space group is No. 71. The calculation puts the energy relative to the elements at -0.10 eV/atom. As for the excess energy over the best structure of this formula in the dataset: 5 meV/atom.

***

The following is a PBE calculation of a geometry-optimized Tc3Br structure, from Alexandria via LeMat-Bulk.

abc: 5.1105 5.1105 4.4209
angles: 92.24 92.24 33.71
Sites, in units of the cell vectors:
Tc1 0.0000 0.0000 0.0000
Tc2 0.2821 0.2821 0.7828
Tc3 0.7179 0.7179 0.2172
Br1 0.5000 0.5000 0.5000

## Properties
As for the density of states at the Fermi level: 0.7472 states/eV per atom. Its space group is No. 12. The raw formation energy is 0.68 eV per atom. As for the excess energy over the best structure of this formula in the dataset: 175 meV/atom.

***

Number 6 is which compound? Pr4Dy7Tm

***

density of states at the Fermi level of number 3 (Ho2HfPa)? 1.3233 states/eV per atom